First-principles (GGA-PBE) data for Pm2PrCo3 after structural relaxation, as listed in Alexandria via LeMat-Bulk.

Summary:
Its theoretical density is 7.62 Mg/m³. As for the formation energy: -68.3 meV/atom. The density of states at the Fermi level is 0.5802 states/eV per atom.

```
Pm2PrCo3
1.0
7.052 -4.071 0.000
7.052 4.071 0.000
0.000 0.000 4.615
Pm Pr Co
4 2 6
Direct
0.002 0.333 0.250 Pm
0.333 0.002 0.750 Pm
0.667 0.998 0.250 Pm
0.998 0.667 0.750 Pm
0.332 0.668 0.250 Pr
0.668 0.332 0.750 Pr
0.000 0.000 0.000 Co
0.000 0.000 0.500 Co
0.332 0.332 0.000 Co
0.332 0.332 0.500 Co
0.668 0.668 0.000 Co
0.668 0.668 0.500 Co
```

---

First-principles (GGA-PBE) data for Pm3Pr2Co2 after structural relaxation, as listed in Alexandria via LeMat-Bulk.

Summary:
Its theoretical density is 7.21 Mg/m³. As for the formation energy: -60.4 meV/atom. The density of states at the Fermi level is 1.2051 states/eV per atom.

```
Pm3Pr2Co2
1.0
12.376 0.000 0.000
0.000 3.759 0.000
-3.983 0.000 8.270
Pm Pr Co
6 4 4
Direct
0.000 0.000 0.000 Pm
0.117 0.000 0.422 Pm
0.383 0.500 0.578 Pm
0.500 0.500 0.000 Pm
0.617 0.500 0.422 Pm
0.883 0.000 0.578 Pm
0.173 0.500 0.804 Pr
0.327 0.000 0.196 Pr
0.673 0.000 0.804 Pr
0.827 0.500 0.196 Pr
0.177 0.500 0.244 Co
0.323 0.000 0.756 Co
0.677 0.000 0.244 Co
0.823 0.500 0.756 Co
```

---

First-principles (GGA-PBE) data for PmPrCo after structural relaxation, as listed in Alexandria via LeMat-Bulk.

Summary:
Its theoretical density is 7.13 Mg/m³. As for the formation energy: 30.9 meV/atom. The density of states at the Fermi level is 1.0555 states/eV per atom.

```
PmPrCo
1.0
3.475 0.000 0.000
-0.018 6.974 0.000
-1.729 -1.734 6.626
Pm Pr Co
2 2 2
Direct
0.125 0.063 0.251 Pm
0.875 0.937 0.749 Pm
0.126 0.563 0.251 Pr
0.874 0.437 0.749 Pr
0.500 0.240 0.000 Co
0.500 0.760 0.000 Co
```

---

First-principles (GGA-PBE) data for PmPrCo3 after structural relaxation, as listed in Alexandria via LeMat-Bulk.

Summary:
Its theoretical density is 7.69 Mg/m³. As for the formation energy: -77.5 meV/atom. The density of states at the Fermi level is 0.9099 states/eV per atom.

```
PmPrCo3
1.0
2.091 -12.145 0.000
2.091 12.145 0.000
0.000 0.000 3.932
Pm Pr Co
2 2 6
Direct
0.068 0.932 0.750 Pm
0.932 0.068 0.250 Pm
0.201 0.799 0.250 Pr
0.799 0.201 0.750 Pr
0.338 0.662 0.250 Co
0.384 0.616 0.750 Co
0.477 0.523 0.750 Co
0.523 0.477 0.250 Co
0.616 0.384 0.250 Co
0.662 0.338 0.750 Co
```

---

First-principles (GGA-PBE) data for Pm3PrCo2 after structural relaxation, as listed in Alexandria via LeMat-Bulk.

Summary:
Its theoretical density is 7.57 Mg/m³. As for the formation energy: 65.6 meV/atom. The density of states at the Fermi level is 1.0557 states/eV per atom.

```
Pm3PrCo2
1.0
7.837 -2.548 0.000
7.837 2.548 0.000
-3.448 0.000 7.620
Pm Pr Co
6 2 4
Direct
0.067 0.067 0.224 Pm
0.320 0.320 0.496 Pm
0.363 0.363 0.993 Pm
0.637 0.637 0.007 Pm
0.680 0.680 0.504 Pm
0.933 0.933 0.776 Pm
0.124 0.124 0.709 Pr
0.876 0.876 0.291 Pr
0.219 0.219 0.123 Co
0.496 0.496 0.359 Co
0.504 0.504 0.641 Co
0.781 0.781 0.877 Co
```

---

First-principles (GGA-PBE) data for PmPrCo after structural relaxation, as listed in Alexandria via LeMat-Bulk.

Summary:
Its theoretical density is 7.14 Mg/m³. As for the formation energy: 56.6 meV/atom. The density of states at the Fermi level is 0.7818 states/eV per atom.

```
PmPrCo
1.0
6.844 0.000 0.000
0.000 6.844 0.000
0.000 0.000 6.844
Pm Pr Co
4 4 4
Direct
0.000 0.000 0.000 Pm
0.000 0.500 0.500 Pm
0.500 0.000 0.500 Pm
0.500 0.500 0.000 Pm
0.000 0.000 0.500 Pr
0.000 0.500 0.000 Pr
0.500 0.000 0.000 Pr
0.500 0.500 0.500 Pr
0.250 0.250 0.750 Co
0.250 0.750 0.250 Co
0.750 0.250 0.250 Co
0.750 0.750 0.750 Co
```

---

First-principles (GGA-PBE) data for PmPr3Co2 after structural relaxation, as listed in Alexandria via LeMat-Bulk.

Summary:
Its theoretical density is 6.93 Mg/m³. As for the formation energy: -42.9 meV/atom. The density of states at the Fermi level is 1.4267 states/eV per atom.

```
PmPr3Co2
1.0
8.597 -1.910 0.000
8.597 1.910 0.000
-7.053 0.000 10.007
Pm Pr Co
2 6 4
Direct
0.161 0.161 0.254 Pm
0.839 0.839 0.746 Pm
0.159 0.159 0.752 Pr
0.415 0.415 0.557 Pr
0.416 0.416 0.054 Pr
0.584 0.584 0.946 Pr
0.585 0.585 0.443 Pr
0.841 0.841 0.248 Pr
0.234 0.234 0.546 Co
0.235 0.235 0.047 Co
0.765 0.765 0.953 Co
0.766 0.766 0.454 Co
```

---

First-principles (GGA-PBE) data for PmPr2Co2 after structural relaxation, as listed in Alexandria via LeMat-Bulk.

Summary:
Its theoretical density is 7.23 Mg/m³. As for the formation energy: -4.0 meV/atom. The density of states at the Fermi level is 1.1910 states/eV per atom.

```
PmPr2Co2
1.0
4.087 0.000 0.000
0.000 14.567 0.000
0.000 0.000 4.205
Pm Pr Co
2 4 4
Direct
0.000 0.000 0.000 Pm
0.500 0.500 0.000 Pm
0.000 0.354 0.500 Pr
0.000 0.646 0.500 Pr
0.500 0.146 0.500 Pr
0.500 0.854 0.500 Pr
0.000 0.213 0.000 Co
0.000 0.787 0.000 Co
0.500 0.287 0.000 Co
0.500 0.713 0.000 Co
```

---

First-principles (GGA-PBE) data for Pm6PrCo2 after structural relaxation, as listed in Alexandria via LeMat-Bulk.

Summary:
Its theoretical density is 7.29 Mg/m³. As for the formation energy: 1.9 meV/atom. The density of states at the Fermi level is 1.1661 states/eV per atom.

```
Pm6PrCo2
1.0
-4.813 5.092 5.246
4.813 -5.092 5.246
4.813 5.092 -5.246
Pm Pr Co
12 2 4
Direct
0.010 0.779 0.231 Pm
0.189 0.483 0.294 Pm
0.189 0.895 0.706 Pm
0.316 0.316 0.632 Pm
0.316 0.684 0.000 Pm
0.452 0.221 0.231 Pm
0.548 0.779 0.769 Pm
0.684 0.316 0.000 Pm
0.684 0.684 0.368 Pm
0.811 0.105 0.294 Pm
0.811 0.517 0.706 Pm
0.990 0.221 0.769 Pm
0.000 0.000 0.000 Pr
0.500 0.000 0.500 Pr
0.111 0.500 0.611 Co
0.337 0.337 0.000 Co
0.663 0.663 0.000 Co
0.889 0.500 0.389 Co
```

---

First-principles (GGA-PBE) data for Pm2PrCo after structural relaxation, as listed in Alexandria via LeMat-Bulk.

Summary:
Its theoretical density is 6.47 Mg/m³. As for the formation energy: 173.4 meV/atom. The density of states at the Fermi level is 1.4866 states/eV per atom.

```
Pm2PrCo
1.0
3.720 0.000 0.000
-1.860 3.222 0.000
0.000 0.000 31.490
Pm Pr Co
6 3 3
Direct
0.000 0.000 0.115 Pm
0.000 0.000 0.885 Pm
0.333 0.667 0.552 Pm
0.333 0.667 0.781 Pm
0.667 0.333 0.219 Pm
0.667 0.333 0.448 Pm
0.000 0.000 0.000 Pr
0.333 0.667 0.667 Pr
0.667 0.333 0.333 Pr
0.000 0.000 0.500 Co
0.333 0.667 0.167 Co
0.667 0.333 0.833 Co
```

---

First-principles (GGA-PBE) data for Pm2PrCo after structural relaxation, as listed in Alexandria via LeMat-Bulk.

Summary:
Its theoretical density is 7.21 Mg/m³. As for the formation energy: -70.8 meV/atom. The density of states at the Fermi level is 1.2852 states/eV per atom.

```
Pm2PrCo
1.0
7.098 0.000 0.000
0.000 9.852 0.000
0.000 0.000 6.454
Pm Pr Co
8 4 4
Direct
0.170 0.070 0.176 Pm
0.170 0.430 0.176 Pm
0.330 0.570 0.676 Pm
0.330 0.930 0.676 Pm
0.670 0.070 0.324 Pm
0.670 0.430 0.324 Pm
0.830 0.570 0.824 Pm
0.830 0.930 0.824 Pm
0.045 0.250 0.644 Pr
0.455 0.750 0.144 Pr
0.545 0.250 0.856 Pr
0.955 0.750 0.356 Pr
0.115 0.750 0.935 Co
0.385 0.250 0.435 Co
0.615 0.750 0.565 Co
0.885 0.250 0.065 Co
```

---

First-principles (GGA-PBE) data for PmPr2Co2 after structural relaxation, as listed in Alexandria via LeMat-Bulk.

Summary:
Its theoretical density is 7.26 Mg/m³. As for the formation energy: 70.4 meV/atom. The density of states at the Fermi level is 1.1722 states/eV per atom.

```
PmPr2Co2
1.0
11.502 0.000 0.000
0.000 3.818 0.000
-1.635 0.000 5.672
Pm Pr Co
2 4 4
Direct
0.000 0.000 0.000 Pm
0.500 0.500 0.000 Pm
0.147 0.500 0.590 Pr
0.353 0.000 0.410 Pr
0.647 0.000 0.590 Pr
0.853 0.500 0.410 Pr
0.226 0.500 0.096 Co
0.274 0.000 0.904 Co
0.726 0.000 0.096 Co
0.774 0.500 0.904 Co
```